{
  "formula": "Cr2O3F",
  "functional": "PBE with a Hubbard U",
  "state": "optimized geometry",
  "cell": [[-4.921, 2.223, 1.061], [0.253, -5.420, 0.920], [3.510, 2.580, 3.363]],
  "species": ["F", "Cr", "O", "O", "F", "Cr", "O", "O", "Cr", "O", "O", "Cr"],
  "frac_coords": [[0.450, 0.750, 0.200], [0.783, 0.750, 0.533], [0.000, 0.806, 0.306], [0.063, 0.750, 0.813], [0.550, 0.250, 0.800], [0.000, 0.500, 0.000], [0.500, 0.694, 0.694], [0.937, 0.250, 0.187], [0.217, 0.250, 0.467], [0.000, 0.194, 0.694], [0.500, 0.306, 0.306], [0.500, 0.000, 0.000]],
  "total_energy_ev_per_atom": -7.212,
  "magnetic_moment_mub_per_atom": 0.83,
  "crystal_system": "orthorhombic"
}